Entry from the Alexandria database: a geometry-optimized CsRb2C2O6 structure (PBE).

a b c (Å): 7.3507 7.4844 6.4094
angles (deg): 111.43 98.09 48.15
With the nearest neighbours (Å) after each atom.
Atoms (fractional coordinates):
O  0.9158  0.7003  0.8328  1 C 1.29
Rb  0.2376  0.5892  0.2162  6 O 2.88-3.09
Cs  0.5000  0.0000  0.5000  4 O 3.01-3.05
O  0.0473  0.1024  0.3278  1 C 1.29
C  0.9482  0.2823  0.2501  3 O 1.29-1.30
Rb  0.7624  0.4108  0.7838  6 O 2.88-3.09
O  0.2897  0.5511  0.7412  1 C 1.30
O  0.9527  0.8976  0.6722  1 C 1.29
O  0.0842  0.2997  0.1672  1 C 1.29
O  0.7103  0.4489  0.2588  1 C 1.30
C  0.0518  0.7177  0.7499  3 O 1.29-1.30

Results
DFT total energy, eV per formula unit: -68.6
Space-group type: P-1, No. 2
Density of states at the Fermi level, states/eV per atom: 0.60